(1)
# CeScOsPd, optimized geometry, DFT PBE
# Mass density: 10.22 Mg/m³
# Energy relative to the elements: -0.483 eV per atom
# Fermi-level density of states: 19.459 states/eV/cell
# Crystal system: cubic
# VASP energy: -7.655 eV/atom
data_CeScOsPd
_chemical_formula_sum 'Ce4 Sc4 Os4 Pd4'
_cell_length_a 6.790
_cell_length_b 6.790
_cell_length_c 6.790
_cell_angle_alpha 90.00
_cell_angle_beta 90.00
_cell_angle_gamma 90.00
_space_group_name_H-M_alt 'F -4 3 m'
_space_group_IT_number 216
_space_group_name_Hall 'F -4 2 3'
loop_
_atom_site_label
_atom_site_type_symbol
_atom_site_fract_x
_atom_site_fract_y
_atom_site_fract_z
_atom_site_occupancy
Ce1 Ce 0.000 0.000 0.000 1
Sc1 Sc 0.000 0.000 0.500 1
Os1 Os 0.250 0.250 0.250 1
Pd1 Pd 0.250 0.250 0.750 1

***

(2)
# Y2AlTlCo, optimized geometry, DFT PBE
# Mass density: 6.37 Mg/m³
# Energy relative to the elements: -0.232 eV per atom
# Fermi-level density of states: 4.298 states/eV/cell
# Crystal system: tetragonal
# VASP energy: -5.461 eV/atom
data_Y2AlTlCo
_chemical_formula_sum 'Y2 Al1 Tl1 Co1'
_cell_length_a 5.142
_cell_length_b 5.142
_cell_length_c 4.613
_cell_angle_alpha 90.00
_cell_angle_beta 90.00
_cell_angle_gamma 90.00
_space_group_name_H-M_alt 'P 4/m m m'
_space_group_IT_number 123
_space_group_name_Hall '-P 4 2'
loop_
_atom_site_label
_atom_site_type_symbol
_atom_site_fract_x
_atom_site_fract_y
_atom_site_fract_z
_atom_site_occupancy
Y1 Y 0.000 0.500 0.000 1
Al1 Al 0.000 0.000 0.500 1
Tl1 Tl 0.500 0.500 0.500 1
Co1 Co 0.000 0.000 0.000 1

***

(3)
# Mn3AlNi12, optimized geometry, DFT PBE
# Mass density: 8.22 Mg/m³
# Energy relative to the elements: -0.185 eV per atom
# Fermi-level density of states: 17.518 states/eV/cell
# Crystal system: tetragonal
# VASP energy: -6.474 eV/atom
data_Mn3AlNi12
_chemical_formula_sum 'Mn3 Al1 Ni12'
_cell_length_a 3.561
_cell_length_b 3.561
_cell_length_c 14.276
_cell_angle_alpha 90.00
_cell_angle_beta 90.00
_cell_angle_gamma 90.00
_space_group_name_H-M_alt 'P 4/m m m'
_space_group_IT_number 123
_space_group_name_Hall '-P 4 2'
loop_
_atom_site_label
_atom_site_type_symbol
_atom_site_fract_x
_atom_site_fract_y
_atom_site_fract_z
_atom_site_occupancy
Mn1 Mn 0.000 0.000 0.000 1
Mn2 Mn 0.000 0.000 0.251 1
Al1 Al 0.000 0.000 0.500 1
Ni1 Ni 0.000 0.500 0.125 1
Ni2 Ni 0.000 0.500 0.375 1
Ni3 Ni 0.500 0.500 0.000 1
Ni4 Ni 0.500 0.500 0.250 1
Ni5 Ni 0.500 0.500 0.500 1

***

(4)
# ZrMn3, optimized geometry, DFT PBE
# Mass density: 7.28 Mg/m³
# Energy relative to the elements: 0.052 eV per atom
# Fermi-level density of states: 8.279 states/eV/cell
# Crystal system: monoclinic
# VASP energy: -8.963 eV/atom
data_ZrMn3
_chemical_formula_sum 'Zr2 Mn6'
_cell_length_a 5.088
_cell_length_b 3.782
_cell_length_c 6.369
_cell_angle_alpha 90.00
_cell_angle_beta 107.75
_cell_angle_gamma 90.00
_space_group_name_H-M_alt 'P 1 21/m 1'
_space_group_IT_number 11
loop_
_space_group_symop_operation_xyz
'x,y,z'
'-x,-y,-z'
'-x,y+1/2,-z'
'x,-y+1/2,z'
loop_
_atom_site_label
_atom_site_type_symbol
_atom_site_fract_x
_atom_site_fract_y
_atom_site_fract_z
_atom_site_occupancy
Zr1 Zr 0.209 0.250 0.421 1
Mn1 Mn 0.106 0.250 0.902 1
Mn2 Mn 0.372 0.750 0.766 1
Mn3 Mn 0.378 0.750 0.122 1

***

(5)
# Pm5DyY2, optimized geometry, DFT PBE
# Mass density: 6.53 Mg/m³
# Energy relative to the elements: 0.020 eV per atom
# Fermi-level density of states: 28.743 states/eV/cell
# Crystal system: triclinic
# Energy above the most stable polymorph in this dataset: 0.004 eV per atom
# VASP energy: -5.141 eV/atom
data_Pm5DyY2
_chemical_formula_sum 'Pm10 Dy2 Y4'
_cell_length_a 6.358
_cell_length_b 6.872
_cell_length_c 12.449
_cell_angle_alpha 85.48
_cell_angle_beta 89.84
_cell_angle_gamma 89.94
_space_group_name_H-M_alt 'P 1'
_space_group_IT_number 1
loop_
_space_group_symop_operation_xyz
'x,y,z'
loop_
_atom_site_label
_atom_site_type_symbol
_atom_site_fract_x
_atom_site_fract_y
_atom_site_fract_z
_atom_site_occupancy
Pm1 Pm 0.000 0.000 0.000 1
Pm2 Pm 0.000 0.246 0.250 1
Pm3 Pm 0.001 0.502 0.500 1
Pm4 Pm 0.001 0.750 0.748 1
Pm5 Pm 0.169 0.250 0.749 1
Pm6 Pm 0.169 0.746 0.251 1
Pm7 Pm 0.499 0.126 0.126 1
Pm8 Pm 0.666 0.126 0.625 1
Pm9 Pm 0.667 0.376 0.873 1
Pm10 Pm 0.668 0.625 0.127 1
Dy1 Dy 0.499 0.629 0.623 1
Dy2 Dy 0.667 0.873 0.376 1
Y1 Y 0.166 0.502 0.999 1
Y2 Y 0.167 0.000 0.498 1
Y3 Y 0.500 0.873 0.875 1
Y4 Y 0.502 0.373 0.377 1

***

(6)
# TmZn4Ni, optimized geometry, DFT PBE
# Mass density: 8.24 Mg/m³
# Energy relative to the elements: -0.308 eV per atom
# Fermi-level density of states: 7.006 states/eV/cell
# Crystal system: orthorhombic
# Energy above the most stable polymorph in this dataset: 0.000 eV per atom
# VASP energy: -2.866 eV/atom
data_TmZn4Ni
_chemical_formula_sum 'Tm2 Zn8 Ni2'
_cell_length_a 7.595
_cell_length_b 3.875
_cell_length_c 6.700
_cell_angle_alpha 90.00
_cell_angle_beta 90.00
_cell_angle_gamma 90.00
_space_group_name_H-M_alt 'P m m a'
_space_group_IT_number 51
loop_
_space_group_symop_operation_xyz
'x,y,z'
'-x,-y,-z'
'-x+1/2,-y,z'
'x+1/2,y,-z'
'x+1/2,-y,-z'
'-x+1/2,y,z'
'-x,y,-z'
'x,-y,z'
loop_
_atom_site_label
_atom_site_type_symbol
_atom_site_fract_x
_atom_site_fract_y
_atom_site_fract_z
_atom_site_occupancy
Tm1 Tm 0.250 0.000 0.108 1
Zn1 Zn 0.000 0.000 0.500 1
Zn2 Zn 0.056 0.500 0.808 1
Zn3 Zn 0.250 0.500 0.452 1
Ni1 Ni 0.250 0.000 0.711 1

***

(7)
# Ca3Ga2Ag2, optimized geometry, DFT PBE
# Mass density: 4.57 Mg/m³
# Energy relative to the elements: -0.391 eV per atom
# Fermi-level density of states: 16.630 states/eV/cell
# Crystal system: orthorhombic
# VASP energy: -2.928 eV/atom
data_Ca3Ga2Ag2
_chemical_formula_sum 'Ca12 Ga8 Ag8'
_cell_length_a 5.901
_cell_length_b 8.274
_cell_length_c 14.143
_cell_angle_alpha 90.00
_cell_angle_beta 90.00
_cell_angle_gamma 90.00
_space_group_name_H-M_alt 'P b c m'
_space_group_IT_number 57
loop_
_space_group_symop_operation_xyz
'x,y,z'
'-x,-y,-z'
'-x,-y,z+1/2'
'x,y,-z+1/2'
'x,-y+1/2,-z'
'-x,y+1/2,z'
'-x,y+1/2,-z+1/2'
'x,-y+1/2,z+1/2'
loop_
_atom_site_label
_atom_site_type_symbol
_atom_site_fract_x
_atom_site_fract_y
_atom_site_fract_z
_atom_site_occupancy
Ca1 Ca 0.132 0.106 0.104 1
Ca2 Ca 0.352 0.748 0.250 1
Ga1 Ga 0.147 0.104 0.750 1
Ga2 Ga 0.327 0.750 0.000 1
Ag1 Ag 0.379 0.042 0.591 1

***

(8)
# BaHgOs, optimized geometry, DFT PBE
# Mass density: 10.08 Mg/m³
# Energy relative to the elements: 0.624 eV per atom
# Fermi-level density of states: 2.829 states/eV/cell
# Crystal system: hexagonal
# Energy above the most stable polymorph in this dataset: 0.000 eV per atom
# VASP energy: -3.861 eV/atom
data_BaHgOs
_chemical_formula_sum 'Ba1 Hg1 Os1'
_cell_length_a 4.5885
_cell_length_b 4.5885
_cell_length_c 4.7724
_cell_angle_alpha 90.00
_cell_angle_beta 90.00
_cell_angle_gamma 120.00
_space_group_name_H-M_alt 'P -6 m 2'
_space_group_IT_number 187
_space_group_name_Hall 'P -6 2'
loop_
_atom_site_label
_atom_site_type_symbol
_atom_site_fract_x
_atom_site_fract_y
_atom_site_fract_z
_atom_site_occupancy
Ba1 Ba 0.0000 0.0000 0.0000 1
Hg1 Hg 0.6667 0.3333 0.5000 1
Os1 Os 0.3333 0.6667 0.5000 1